VASP calculation (PBE) on LaH4Pd2Rh after structural relaxation. Values from VASP.

```
&SYSTEM
  ibrav = 0, nat = 8, ntyp = 4
/
ATOMIC_SPECIES
H 1.01 H.upf
Rh 102.91 Rh.upf
La 138.91 La.upf
Pd 106.42 Pd.upf
ATOMIC_POSITIONS crystal
H 0.364 0.153 0.500
Rh 0.000 0.500 0.500
H 0.984 0.500 0.153
La 0.000 0.000 0.000
Pd 0.500 0.726 0.274
H 0.636 0.500 0.847
H 0.016 0.847 0.500
Pd 0.500 0.274 0.726
CELL_PARAMETERS angstrom
5.120 0.000 0.000
2.560 4.193 -0.752
2.560 -0.283 4.251
```

- Space-group type: I222 (23)
- Calculated volume: 11.3 Å³ per atom
- Total energy: -4.90 eV per atom
- Total magnetic moment: 0.00 μB/f.u.



VASP calculation (PBE) on LaH6PdRh after structural relaxation. Values from VASP.

```
&SYSTEM
  ibrav = 0, nat = 9, ntyp = 4
/
ATOMIC_SPECIES
H 1.01 H.upf
La 138.91 La.upf
Pd 106.42 Pd.upf
Rh 102.91 Rh.upf
ATOMIC_POSITIONS crystal
H 0.018 0.491 0.241
H 0.492 0.491 0.759
H 0.492 0.018 0.241
La 0.000 0.000 0.000
H 0.491 0.492 0.241
Pd 0.667 0.667 0.500
H 0.018 0.492 0.759
H 0.491 0.018 0.759
Rh 0.333 0.333 0.500
CELL_PARAMETERS angstrom
-4.393 -1.911 -0.805
-2.703 -1.535 3.734
-1.752 3.889 0.331
```

- Space-group type: P-6m2 (187)
- Calculated volume: 9.7 Å³ per atom
- Total energy: -4.55 eV per atom
- Total magnetic moment: 0.00 μB/f.u.



VASP calculation (PBE) on La2HPdRh after structural relaxation. Values from VASP.

```
&SYSTEM
  ibrav = 0, nat = 5, ntyp = 4
/
ATOMIC_SPECIES
Rh 102.91 Rh.upf
Pd 106.42 Pd.upf
La 138.91 La.upf
H 1.01 H.upf
ATOMIC_POSITIONS crystal
Rh 0.500 0.500 0.500
Pd 0.000 0.000 0.500
La 0.000 0.500 0.000
H 0.000 0.000 0.000
La 0.500 0.000 0.000
CELL_PARAMETERS angstrom
5.135 0.000 0.000
0.000 5.135 0.000
0.000 0.000 3.755
```

- Space-group type: P4/mmm (123)
- Calculated volume: 19.8 Å³ per atom
- Total energy: -5.79 eV per atom
- Total magnetic moment: 0.00 μB/f.u.



VASP calculation (PBE) on La2HPdRu after structural relaxation. Values from VASP.

```
&SYSTEM
  ibrav = 0, nat = 5, ntyp = 4
/
ATOMIC_SPECIES
La 138.91 La.upf
Pd 106.42 Pd.upf
H 1.01 H.upf
Ru 101.07 Ru.upf
ATOMIC_POSITIONS crystal
La 0.000 0.500 0.000
Pd 0.000 0.000 0.500
La 0.500 0.000 0.000
H 0.000 0.000 0.000
Ru 0.500 0.500 0.500
CELL_PARAMETERS angstrom
5.148 0.000 0.000
0.000 5.148 0.000
0.000 0.000 3.705
```

- Space-group type: P4/mmm (123)
- Calculated volume: 19.6 Å³ per atom
- Total energy: -5.95 eV per atom
- Total magnetic moment: 0.00 μB/f.u.



VASP calculation (PBE) on La2HPdRu after structural relaxation. Values from VASP.

```
&SYSTEM
  ibrav = 0, nat = 5, ntyp = 4
/
ATOMIC_SPECIES
La 138.91 La.upf
H 1.01 H.upf
Pd 106.42 Pd.upf
Ru 101.07 Ru.upf
ATOMIC_POSITIONS crystal
La 0.500 0.000 0.000
H 0.000 0.000 0.000
Pd 0.500 0.500 0.500
Ru 0.000 0.000 0.500
La 0.000 0.500 0.000
CELL_PARAMETERS angstrom
-4.077 -2.420 2.101
0.812 -4.069 -3.111
2.189 -1.495 2.527
```

- Space-group type: P4/mmm (123)
- Calculated volume: 19.7 Å³ per atom
- Total energy: -6.03 eV per atom
- Total magnetic moment: 0.00 μB/f.u.



VASP calculation (PBE) on La2H6PdRu after structural relaxation. Values from VASP.

```
&SYSTEM
  ibrav = 0, nat = 10, ntyp = 4
/
ATOMIC_SPECIES
H 1.01 H.upf
Pd 106.42 Pd.upf
La 138.91 La.upf
Ru 101.07 Ru.upf
ATOMIC_POSITIONS crystal
H 0.267 0.733 0.000
H 0.734 0.734 0.532
H 0.266 0.266 0.468
H 0.734 0.734 0.000
H 0.733 0.267 0.000
Pd 0.000 0.000 0.000
H 0.266 0.266 0.000
La 0.250 0.750 0.500
La 0.750 0.250 0.500
Ru 0.500 0.500 0.000
CELL_PARAMETERS angstrom
5.407 -0.009 0.001
-0.009 5.407 0.001
2.700 2.700 3.816
```

- Space-group type: I4/mmm (139)
- Calculated volume: 11.2 Å³ per atom
- Total energy: -4.99 eV per atom
- Total magnetic moment: 0.00 μB/f.u.



VASP calculation (PBE) on LaH6PdRu after structural relaxation. Values from VASP.

```
&SYSTEM
  ibrav = 0, nat = 9, ntyp = 4
/
ATOMIC_SPECIES
H 1.01 H.upf
Ru 101.07 Ru.upf
Pd 106.42 Pd.upf
La 138.91 La.upf
ATOMIC_POSITIONS crystal
H 0.487 0.027 0.235
H 0.487 0.487 0.235
Ru 0.333 0.333 0.500
Pd 0.667 0.667 0.500
H 0.026 0.487 0.235
H 0.487 0.027 0.765
La 0.000 0.000 0.000
H 0.026 0.487 0.765
H 0.487 0.487 0.765
CELL_PARAMETERS angstrom
-0.383 1.793 -4.431
1.195 -2.689 -3.786
-4.136 -1.492 -0.246
```

- Space-group type: P-6m2 (187)
- Calculated volume: 9.7 Å³ per atom
- Total energy: -4.67 eV per atom
- Total magnetic moment: 0.89 μB/f.u.



VASP calculation (PBE) on LaHPdS2 after structural relaxation. Values from VASP.

```
&SYSTEM
  ibrav = 0, nat = 5, ntyp = 4
/
ATOMIC_SPECIES
S 32.06 S.upf
H 1.01 H.upf
Pd 106.42 Pd.upf
La 138.91 La.upf
ATOMIC_POSITIONS crystal
S 0.000 0.500 0.000
H 0.000 0.000 0.500
Pd 0.000 0.000 0.000
S 0.500 0.000 0.000
La 0.500 0.500 0.500
CELL_PARAMETERS angstrom
-0.039 -2.408 -4.233
-0.005 -4.233 2.408
-3.661 0.017 0.024
```

- Space-group type: P4/mmm (123)
- Calculated volume: 17.4 Å³ per atom
- Total energy: -5.39 eV per atom
- Total magnetic moment: 0.00 μB/f.u.